[1]
Entry from Alexandria: a relaxed structure of DyY2Ni2 (PBE).

Values from the calculation:
- E_form: -321 meV/atom
- Crystal system: monoclinic
- Offset from the most stable computed form: 0.0 meV per atom
- Total energy: -6.139 eV/atom

Geometry as CIF:
```
data_DyY2Ni2
_cell_length_a 11.219
_cell_length_b 5.827
_cell_length_c 7.170
_cell_angle_alpha 90.00
_cell_angle_beta 101.12
_cell_angle_gamma 90.00
_space_group_name_H-M_alt 'C 1 2/c 1'
_space_group_IT_number 15
loop_
_space_group_symop_operation_xyz
'x,y,z'
'-x,-y,-z'
'-x,y,-z+1/2'
'x,-y,z+1/2'
'x+1/2,y+1/2,z'
'-x+1/2,-y+1/2,-z'
'-x+1/2,y+1/2,-z+1/2'
'x+1/2,-y+1/2,z+1/2'
loop_
_atom_site_label
_atom_site_type_symbol
_atom_site_fract_x
_atom_site_fract_y
_atom_site_fract_z
Dy1 Dy 0.000 0.092 0.250
Y1 Y 0.158 0.391 0.654
Ni1 Ni 0.161 0.139 0.010
```

[2]
Entry from Alexandria: a relaxed structure of ErNi4C (PBE).

Values from the calculation:
- E_form: -83 meV/atom
- Crystal system: orthorhombic
- Total energy: -6.235 eV/atom

Geometry as CIF:
```
data_ErNi4C
_cell_length_a 6.820
_cell_length_b 3.437
_cell_length_c 6.134
_cell_angle_alpha 90.00
_cell_angle_beta 90.00
_cell_angle_gamma 90.00
_space_group_name_H-M_alt 'P m m a'
_space_group_IT_number 51
loop_
_space_group_symop_operation_xyz
'x,y,z'
'-x,-y,-z'
'-x+1/2,-y,z'
'x+1/2,y,-z'
'x+1/2,-y,-z'
'-x+1/2,y,z'
'-x,y,-z'
'x,-y,z'
loop_
_atom_site_label
_atom_site_type_symbol
_atom_site_fract_x
_atom_site_fract_y
_atom_site_fract_z
Er1 Er 0.250 0.000 0.090
Ni1 Ni 0.000 0.000 0.500
Ni2 Ni 0.066 0.500 0.790
Ni3 Ni 0.250 0.500 0.455
C1 C 0.250 0.000 0.654
```